Density functional theory data (PBEsol) for Ti4Pd after structural relaxation.

extended XYZ file:
```
5
Lattice="-1.535 1.535 8.419 1.535 -1.535 8.419 1.535 1.535 -8.419" Properties=species:S:1:pos:R:3 pbc="T T T"
Ti 0.000 0.000 1.617
Ti 0.000 0.000 5.106
Ti 0.000 0.000 11.732
Ti 0.000 0.000 15.220
Pd 0.000 0.000 8.419
```

Properties
**SG**: I4/mmm
**Energy of formation**: -0.234 eV per atom
**Total energy**: -8.08 eV per atom